(1)
This record from Alexandria describes an optimized crystal structure of Rb2U2IrSe6. The functional is GGA-PBE.

Unit cell a=6.7545 b=6.7545 c=8.7576 alpha=98.27 beta=98.27 gamma=118.96
With the nearest neighbours (Å) after each atom.
Sites, in units of the cell vectors:
Rb1 0.1725 0.8275 0.0000  6 Se 3.44-3.48
Rb2 0.8275 0.1725 0.0000  6 Se 3.44-3.48
U1 0.3266 0.6734 0.5000  6 Se 2.84-2.87
U2 0.6734 0.3266 0.5000  6 Se 2.84-2.87
Ir1 0.0000 0.0000 0.5000  6 Se 2.59-2.62
Se1 0.0781 0.3782 0.6936  1 Ir 2.62, 2 U 2.84-2.87
Se2 0.2374 0.2374 0.3166  1 Ir 2.59, 2 U 2.87
Se3 0.3782 0.0781 0.6936  1 Ir 2.62, 2 U 2.84-2.87
Se4 0.6218 0.9219 0.3064  1 Ir 2.62, 2 U 2.84-2.87
Se5 0.7626 0.7626 0.6834  1 Ir 2.59, 2 U 2.87
Se6 0.9219 0.6218 0.3064  1 Ir 2.62, 2 U 2.84-2.87

Output
E_form (uncorrected): -91 kJ per mole of atoms
total magnetization: 0.46 μB/atom
space-group type: C2/m (12)
density: 6.50 g/cm3

=====

(2)
This record from Alexandria describes an optimized crystal structure of Tm3HPbS. The functional is GGA-PBE.

Unit cell a=7.9422 b=4.0365 c=8.4188 alpha=90.00 beta=100.38 gamma=90.00
With the nearest neighbours (Å) after each atom.
Sites, in units of the cell vectors:
Tm1 0.0685 0.2500 0.3279  3 S 2.67-2.72
Tm2 0.3232 0.2500 0.9572  3 H 2.22-2.24
Tm3 0.3826 0.7500 0.6262  1 H 2.25
Tm4 0.6174 0.2500 0.3738  1 H 2.25
Tm5 0.6768 0.7500 0.0428  3 H 2.22-2.24
Tm6 0.9315 0.7500 0.6721  3 S 2.67-2.72
H1 0.4110 0.7500 0.8967  4 Tm 2.22-2.25
H2 0.5890 0.2500 0.1033  4 Tm 2.22-2.25
Pb1 0.3285 0.7500 0.2434  7 Tm 3.06-3.17, 3 H 3.10-3.26
Pb2 0.6715 0.2500 0.7566  7 Tm 3.06-3.17, 3 H 3.10-3.26
S1 0.1551 0.2500 0.6489  6 Tm 2.67-2.74
S2 0.8449 0.7500 0.3511  6 Tm 2.67-2.74

Output
total magnetization: 0.00 μB/atom
space-group type: P2_1/m (11)
total energy: -5.027 eV per atom
density: 9.35 g/cm3

=====

(3)
This record from Alexandria describes an optimized crystal structure of Ti3AgC. The functional is GGA-PBE.

Unit cell a=4.7983 b=4.7983 c=4.7983 alpha=90.00 beta=90.00 gamma=90.00
With the nearest neighbours (Å) after each atom.
Sites, in units of the cell vectors:
Ti1 0.0000 0.0000 0.5000  2 Ag 2.40
Ti2 0.0000 0.5000 0.0000  2 Ag 2.40
Ti3 0.5000 0.0000 0.0000  2 Ag 2.40
Ag1 0.0000 0.0000 0.0000  6 Ti 2.40
C1 0.5000 0.5000 0.5000  12 Ti 3.39

Output
energy relative to the lowest polymorph listed for this composition: 2567.0 meV/atom
total magnetization: 0.26 μB/atom
space-group type: Pm-3m (221)
density: 3.96 g/cm3
DFT formation energy: 1060 kJ/mol of formula units

=====

(4)
This record from Alexandria describes an optimized crystal structure of Dy4PdRu2. The functional is GGA-PBE.

Unit cell a=7.4477 b=7.4477 c=7.4477 alpha=109.18 beta=109.18 gamma=110.05
With the nearest neighbours (Å) after each atom.
Sites, in units of the cell vectors:
Dy1 0.0023 0.3863 0.2501  3 Ru 2.76-3.02, 1 Pd 2.86
Dy2 0.1363 0.2523 0.7501  3 Ru 2.76-3.02, 1 Pd 2.86
Dy3 0.1362 0.7521 0.7499  3 Ru 2.76-3.02, 1 Pd 2.86
Dy4 0.2479 0.9977 0.3841  3 Ru 2.76-3.02, 1 Pd 2.86
Dy5 0.5021 0.3862 0.2499  3 Ru 2.76-3.02, 1 Pd 2.86
Dy6 0.6138 0.8637 0.1159  3 Ru 2.76-3.02, 1 Pd 2.86
Dy7 0.6137 0.8638 0.6159  3 Ru 2.76-3.02, 1 Pd 2.86
Dy8 0.7477 0.4979 0.8841  3 Ru 2.76-3.02, 1 Pd 2.86
Pd1 0.0000 0.0000 0.0000  4 Dy 2.86
Pd2 0.7500 0.2500 0.5000  4 Dy 2.86
Ru1 0.2268 0.6250 0.1018  6 Dy 2.76-3.02
Ru2 0.3750 0.4768 0.6018  6 Dy 2.76-3.02
Ru3 0.5232 0.1250 0.8982  6 Dy 2.76-3.02
Ru4 0.8750 0.7732 0.3982  6 Dy 2.76-3.02

Output
energy relative to the lowest polymorph listed for this composition: 62.1 meV/atom
total magnetization: 0.00 μB/atom
space-group type: I-42d (122)
density: 10.01 g/cm3
DFT formation energy: -292 kJ/mol of formula units

=====

(5)
This record from Alexandria describes an optimized crystal structure of Ba2Hg7Pb. The functional is GGA-PBE.

Unit cell a=4.9238 b=4.9238 c=12.7569 alpha=90.00 beta=90.00 gamma=90.00
With the nearest neighbours (Å) after each atom.
Sites, in units of the cell vectors:
Ba1 0.0000 0.5000 0.2471  14 Hg 3.76-4.06, 2 Pb 4.06
Ba2 0.5000 0.0000 0.7529  14 Hg 3.76-4.06, 2 Pb 4.06
Hg1 0.0000 0.0000 0.0000  4 Hg 3.00
Hg2 0.0000 0.5000 0.6396  3 Hg 2.88-3.04, 2 Pb 3.04
Hg3 0.0000 0.5000 0.8649  5 Hg 2.88-3.00
Hg4 0.5000 0.0000 0.1351  5 Hg 2.88-3.00
Hg5 0.5000 0.0000 0.3604  3 Hg 2.88-3.04, 2 Pb 3.04
Hg6 0.5000 0.5000 0.0000  4 Hg 3.00
Hg7 0.5000 0.5000 0.5000  4 Hg 3.04
Pb1 0.0000 0.0000 0.5000  4 Hg 3.04

Output
total magnetization: 0.00 μB/atom
space-group type: P-4m2 (115)
density: 10.13 g/cm3
DFT formation energy: -320 kJ/mol of formula units

=====

(6)
This record from Alexandria describes an optimized crystal structure of KInGe. The functional is GGA-PBE.

Unit cell a=4.6185 b=12.1126 c=7.9812 alpha=90.00 beta=90.00 gamma=90.00
With the nearest neighbours (Å) after each atom.
Sites, in units of the cell vectors:
K1 0.0000 0.0000 0.0000  2 Ge 3.45, 2 In 3.59
K2 0.0000 0.0000 0.5000  2 Ge 3.45, 2 In 3.59
K3 0.0000 0.5000 0.0000  2 Ge 3.45, 2 In 3.59
K4 0.0000 0.5000 0.5000  2 Ge 3.45, 2 In 3.59
In1 0.2843 0.2500 0.3241  3 Ge 2.61-2.71
In2 0.2843 0.7500 0.8241  3 Ge 2.61-2.71
In3 0.7157 0.2500 0.8241  3 Ge 2.61-2.71
In4 0.7157 0.7500 0.3241  3 Ge 2.61-2.71
Ge1 0.2243 0.2500 0.6614  3 In 2.61-2.71
Ge2 0.2243 0.7500 0.1614  3 In 2.61-2.71
Ge3 0.7757 0.2500 0.1614  3 In 2.61-2.71
Ge4 0.7757 0.7500 0.6614  3 In 2.61-2.71

Output
total magnetization: 0.00 μB/atom
space-group type: Aem2 (39)
density: 3.37 g/cm3
DFT formation energy: -3 kJ/mol of formula units

=====

(7)
This record from Alexandria describes an optimized crystal structure of AsSI2. The functional is GGA-PBE.

Unit cell a=3.2525 b=7.0452 c=8.1102 alpha=95.40 beta=94.19 gamma=90.65
With the nearest neighbours (Å) after each atom.
Sites, in units of the cell vectors:
As1 0.0000 0.0000 0.0000  2 S 2.26
S1 0.5156 0.8274 0.1092  2 As 2.26
I1 0.0580 0.3218 0.2726  1 As 3.01, 2 I 3.25
I2 0.9336 0.7849 0.6631  1 As 2.99, 2 I 3.25

Output
energy relative to the lowest polymorph listed for this composition: 0.0 meV/atom
E_form (uncorrected): -6 kJ per mole of atoms
total magnetization: 0.00 μB/atom
space-group type: P1 (1)
density: 3.25 g/cm3

=====

(8)
This record from Alexandria describes an optimized crystal structure of La6Ni2Hg. The functional is GGA-PBE.

Unit cell a=8.8523 b=8.8523 c=8.8523 alpha=114.42 beta=108.07 gamma=106.04
With the nearest neighbours (Å) after each atom.
Sites, in units of the cell vectors:
La1 0.0194 0.2229 0.7966  1 Ni 2.88, 1 Hg 3.18
La2 0.1782 0.2982 0.4764  2 Ni 2.99
La3 0.1782 0.7018 0.8801  2 Ni 2.99
La4 0.3265 0.0181 0.6915  3 Ni 2.83-2.98
La5 0.3265 0.6350 0.3085  3 Ni 2.83-2.98
La6 0.4263 0.2229 0.2034  1 Ni 2.88, 1 Hg 3.18
La7 0.5737 0.7771 0.7966  1 Ni 2.88, 1 Hg 3.18
La8 0.6735 0.3650 0.6915  3 Ni 2.83-2.98
La9 0.6735 0.9819 0.3085  3 Ni 2.83-2.98
La10 0.8218 0.2982 0.1199  2 Ni 2.99
La11 0.8218 0.7018 0.5236  2 Ni 2.99
La12 0.9806 0.7771 0.2034  1 Ni 2.88, 1 Hg 3.18
Ni1 0.1242 0.6242 0.5000  1 Ni 2.64, 2 La 2.83
Ni2 0.3606 0.0000 0.3606  6 La 2.88-2.98, 1 Ni 2.90
Ni3 0.6394 0.0000 0.6394  6 La 2.88-2.98, 1 Ni 2.90
Ni4 0.8758 0.3758 0.5000  1 Ni 2.64, 2 La 2.83
Hg1 0.0000 0.0000 0.0000  8 La 3.18-3.41
Hg2 0.5000 0.5000 0.0000  12 La 3.49-3.87

Output
total magnetization: 0.00 μB/atom
space-group type: Immm (71)
density: 7.20 g/cm3
DFT formation energy: -238 kJ/mol of formula units